No. 1
DFT (GGA-PBE) results for a relaxed structure of GdLuPb2.

Values from the calculation:
- Energy above the lowest structure with this stoichiometry: 0.002 eV per atom
- E_tot: -82.95 eV for the cell shown
- Total magnetic moment: 7.17 μB/f.u.
- Energy of formation from the pure elements: -0.408 eV/atom

Structure (CIF):
```
data_GdLuPb2
_space_group_name_H-M_alt 'R -3 m'
_space_group_IT_number 166
_space_group_name_Hall '-R 3 2"'
_cell_length_a 5.0493
_cell_length_b 5.0493
_cell_length_c 15.8078
_cell_angle_alpha 90.00
_cell_angle_beta 90.00
_cell_angle_gamma 120.00
loop_
_atom_site_label
_atom_site_fract_x
_atom_site_fract_y
_atom_site_fract_z
_atom_site_occupancy
Gd1 0.0000 0.0000 0.0000 1
Lu1 0.0000 0.0000 0.5000 1
Pb1 0.0000 0.0000 0.2465 1
```

=====

No. 2
DFT (GGA-PBE) results for a relaxed structure of Li2BeRe.

Values from the calculation:
- E_tot: -19.24 eV for the cell shown
- Total magnetic moment: 0.00 μB/f.u.
- Energy of formation from the pure elements: 0.190 eV/atom

Structure (CIF):
```
data_Li2BeRe
_space_group_name_H-M_alt 'P m m 2'
_space_group_IT_number 25
_space_group_name_Hall 'P 2 -2'
_cell_length_a 2.5957
_cell_length_b 2.6441
_cell_length_c 7.7945
_cell_angle_alpha 90.00
_cell_angle_beta 90.00
_cell_angle_gamma 90.00
loop_
_atom_site_label
_atom_site_fract_x
_atom_site_fract_y
_atom_site_fract_z
_atom_site_occupancy
Li1 0.0000 0.0000 0.0000 1
Li2 0.5000 0.5000 0.2979 1
Be1 0.5000 0.5000 0.7834 1
Re1 0.0000 0.0000 0.5713 1
```

=====

No. 3
DFT (GGA-PBE) results for a relaxed structure of NdLuAgSn.

Values from the calculation:
- E_tot: -72.18 eV for the cell shown
- Total magnetic moment: 0.00 μB/f.u.
- Energy of formation from the pure elements: -0.475 eV/atom

Structure (CIF):
```
data_NdLuAgSn
_space_group_name_H-M_alt 'F -4 3 m'
_space_group_IT_number 216
_space_group_name_Hall 'F -4 2 3'
_cell_length_a 7.4564
_cell_length_b 7.4564
_cell_length_c 7.4564
_cell_angle_alpha 90.00
_cell_angle_beta 90.00
_cell_angle_gamma 90.00
loop_
_atom_site_label
_atom_site_fract_x
_atom_site_fract_y
_atom_site_fract_z
_atom_site_occupancy
Nd1 0.0000 0.0000 0.0000 1
Lu1 0.0000 0.0000 0.5000 1
Ag1 0.2500 0.2500 0.7500 1
Sn1 0.2500 0.2500 0.2500 1
```

=====

No. 4
DFT (GGA-PBE) results for a relaxed structure of Ti2OsCl.

Values from the calculation:
- Energy above the lowest structure with this stoichiometry: 0.027 eV per atom
- E_tot: -113.81 eV for the cell shown
- Total magnetic moment: 0.00 μB/f.u.
- Energy relative to the elements, uncorrected: 0.1036 eV per atom

Structure (CIF):
```
data_Ti2OsCl
_space_group_name_H-M_alt 'F m -3 m'
_space_group_IT_number 225
_space_group_name_Hall '-F 4 2 3'
_cell_length_a 6.3203
_cell_length_b 6.3203
_cell_length_c 6.3203
_cell_angle_alpha 90.00
_cell_angle_beta 90.00
_cell_angle_gamma 90.00
loop_
_atom_site_label
_atom_site_fract_x
_atom_site_fract_y
_atom_site_fract_z
_atom_site_occupancy
Ti1 0.2500 0.2500 0.2500 1
Os1 0.0000 0.0000 0.0000 1
Cl1 0.0000 0.0000 0.5000 1
```

=====

No. 5
DFT (GGA-PBE) results for a relaxed structure of Hf2H3Pd.

Values from the calculation:
- E_tot: -152.04 eV for the cell shown
- Total magnetic moment: 0.00 μB/f.u.

Structure (CIF):
```
data_Hf2H3Pd
_space_group_name_H-M_alt 'C 1 2/m 1'
_space_group_IT_number 12
_space_group_name_Hall '-C 2y'
_cell_length_a 11.9941
_cell_length_b 3.2018
_cell_length_c 7.3495
_cell_angle_alpha 90.00
_cell_angle_beta 110.76
_cell_angle_gamma 90.00
loop_
_atom_site_label
_atom_site_fract_x
_atom_site_fract_y
_atom_site_fract_z
_atom_site_occupancy
Hf1 0.0316 0.0000 0.2201 1
Hf2 0.1759 0.5000 0.6455 1
H1 0.0341 0.5000 0.3855 1
H2 0.0896 0.0000 0.6632 1
H3 0.1839 0.0000 0.4644 1
Pd1 0.1626 0.5000 0.0471 1
```

=====

No. 6
DFT (GGA-PBE) results for a relaxed structure of Cs2TiTlBr6.

Values from the calculation:
- E_tot: -143.17 eV for the cell shown
- Total magnetic moment: 1.00 μB/f.u.
- Energy relative to the elements, uncorrected: -1.3786 eV per atom

Structure (CIF):
```
data_Cs2TiTlBr6
_space_group_name_H-M_alt 'F m -3 m'
_space_group_IT_number 225
_space_group_name_Hall '-F 4 2 3'
_cell_length_a 11.5947
_cell_length_b 11.5947
_cell_length_c 11.5947
_cell_angle_alpha 90.00
_cell_angle_beta 90.00
_cell_angle_gamma 90.00
loop_
_atom_site_label
_atom_site_fract_x
_atom_site_fract_y
_atom_site_fract_z
_atom_site_occupancy
Cs1 0.2500 0.2500 0.2500 1
Ti1 0.0000 0.0000 0.0000 1
Tl1 0.0000 0.0000 0.5000 1
Br1 0.0000 0.0000 0.2244 1
```

=====

No. 7
DFT (GGA-PBE) results for a relaxed structure of Ta2GaP2.

Values from the calculation:
- Energy above the lowest structure with this stoichiometry: 0.000 eV per atom
- E_tot: -79.40 eV for the cell shown
- Total magnetic moment: 0.00 μB/f.u.
- Energy of formation from the pure elements: -0.429 eV/atom

Structure (CIF):
```
data_Ta2GaP2
_space_group_name_H-M_alt 'P 4/m b m'
_space_group_IT_number 127
_space_group_name_Hall '-P 4 2ab'
_cell_length_a 7.0784
_cell_length_b 7.0784
_cell_length_c 3.2268
_cell_angle_alpha 90.00
_cell_angle_beta 90.00
_cell_angle_gamma 90.00
loop_
_atom_site_label
_atom_site_fract_x
_atom_site_fract_y
_atom_site_fract_z
_atom_site_occupancy
Ta1 0.1487 0.3513 0.0000 1
Ga1 0.0000 0.0000 0.0000 1
P1 0.1405 0.6405 0.5000 1
```

=====

No. 8
DFT (GGA-PBE) results for a relaxed structure of Pm2Zn3Ga2.

Values from the calculation:
- Energy above the lowest structure with this stoichiometry: 0.192 eV per atom
- E_tot: -42.63 eV for the cell shown
- Total magnetic moment: 0.00 μB/f.u.
- Energy of formation from the pure elements: -0.277 eV/atom

Structure (CIF):
```
data_Pm2Zn3Ga2
_space_group_name_H-M_alt 'C m m m'
_space_group_IT_number 65
_space_group_name_Hall '-C 2 2'
_cell_length_a 4.1812
_cell_length_b 20.8949
_cell_length_c 3.4736
_cell_angle_alpha 90.00
_cell_angle_beta 90.00
_cell_angle_gamma 90.00
loop_
_atom_site_label
_atom_site_fract_x
_atom_site_fract_y
_atom_site_fract_z
_atom_site_occupancy
Pm1 0.0000 0.1519 0.0000 1
Zn1 0.0000 0.0000 0.0000 1
Zn2 0.0000 0.4377 0.5000 1
Ga1 0.0000 0.2839 0.5000 1
```

=====

No. 9
DFT (GGA-PBE) results for a relaxed structure of Tm8Co3Bi2.

Values from the calculation:
- E_tot: -137.06 eV for the cell shown
- Total magnetic moment: 0.00 μB/f.u.
- Energy of formation from the pure elements: -0.283 eV/atom

Structure (CIF):
```
data_Tm8Co3Bi2
_space_group_name_H-M_alt 'C 1 2/m 1'
_space_group_IT_number 12
_space_group_name_Hall '-C 2y'
_cell_length_a 16.0037
_cell_length_b 7.1596
_cell_length_c 6.4317
_cell_angle_alpha 90.00
_cell_angle_beta 101.64
_cell_angle_gamma 90.00
loop_
_atom_site_label
_atom_site_fract_x
_atom_site_fract_y
_atom_site_fract_z
_atom_site_occupancy
Tm1 0.0761 0.0000 0.3655 1
Tm2 0.0993 0.2562 0.8695 1
Tm3 0.1176 0.5000 0.3680 1
Co1 0.0000 0.3005 0.5000 1
Co2 0.0000 0.5000 0.0000 1
Bi1 0.2395 0.0000 0.1852 1
```

=====

No. 10
DFT (GGA-PBE) results for a relaxed structure of ZrScCl2.

Values from the calculation:
- Energy above the lowest structure with this stoichiometry: 0.816 eV per atom
- E_tot: -82.87 eV for the cell shown
- Total magnetic moment: 0.00 μB/f.u.
- Energy relative to the elements, uncorrected: -0.5363 eV per atom

Structure (CIF):
```
data_ZrScCl2
_space_group_name_H-M_alt 'F m -3 m'
_space_group_IT_number 225
_space_group_name_Hall '-F 4 2 3'
_cell_length_a 6.5985
_cell_length_b 6.5985
_cell_length_c 6.5985
_cell_angle_alpha 90.00
_cell_angle_beta 90.00
_cell_angle_gamma 90.00
loop_
_atom_site_label
_atom_site_fract_x
_atom_site_fract_y
_atom_site_fract_z
_atom_site_occupancy
Zr1 0.0000 0.0000 0.0000 1
Sc1 0.0000 0.0000 0.5000 1
Cl1 0.2500 0.2500 0.2500 1
```

=====

No. 11
DFT (GGA-PBE) results for a relaxed structure of AgPdCl4.

Values from the calculation:
- E_tot: -66.48 eV for the cell shown
- Total magnetic moment: 0.00 μB/f.u.
- Energy relative to the elements, uncorrected: -0.1981 eV per atom

Structure (CIF):
```
data_AgPdCl4
_space_group_name_H-M_alt 'I 41/a m d'
_space_group_IT_number 141
_cell_length_a 8.4061
_cell_length_b 8.4061
_cell_length_c 8.5652
_cell_angle_alpha 90.00
_cell_angle_beta 90.00
_cell_angle_gamma 90.00
loop_
_space_group_symop_operation_xyz
'x,y,z'
'-x,-y,-z'
'-y+1/4,x+3/4,z+1/4'
'y+1/4,-x+3/4,-z+1/4'
'-x+1/2,-y,z+1/2'
'x+1/2,y,-z+1/2'
'y+1/4,-x+1/4,z+3/4'
'-y+1/4,x+1/4,-z+3/4'
'x,-y,-z'
'-x,y,z'
'-y+1/4,-x+1/4,-z+3/4'
'y+1/4,x+1/4,z+3/4'
'-x+1/2,y,-z+1/2'
'x+1/2,-y,z+1/2'
'y+1/4,x+3/4,-z+1/4'
'-y+1/4,-x+3/4,z+1/4'
'x+1/2,y+1/2,z+1/2'
'-x+1/2,-y+1/2,-z+1/2'
'-y+3/4,x+1/4,z+3/4'
'y+3/4,-x+1/4,-z+3/4'
'-x,-y+1/2,z'
'x,y+1/2,-z'
'y+3/4,-x+3/4,z+1/4'
'-y+3/4,x+3/4,-z+1/4'
'x+1/2,-y+1/2,-z+1/2'
'-x+1/2,y+1/2,z+1/2'
'-y+3/4,-x+3/4,-z+1/4'
'y+3/4,x+3/4,z+1/4'
'-x,y+1/2,-z'
'x,-y+1/2,z'
'y+3/4,x+1/4,-z+3/4'
'-y+3/4,-x+1/4,z+3/4'
loop_
_atom_site_label
_atom_site_fract_x
_atom_site_fract_y
_atom_site_fract_z
_atom_site_occupancy
Ag1 0.0000 0.2500 0.3750 1
Pd1 0.0000 0.2500 0.8750 1
Cl1 0.0000 0.0621 0.6735 1
```

=====

No. 12
DFT (GGA-PBE) results for a relaxed structure of Nd2Cl3O.

Values from the calculation:
- E_tot: -141.34 eV for the cell shown
- Total magnetic moment: 0.00 μB/f.u.
- Energy relative to the elements, uncorrected: -2.5501 eV per atom

Structure (CIF):
```
data_Nd2Cl3O
_space_group_name_H-M_alt 'C 1 2/m 1'
_space_group_IT_number 12
_space_group_name_Hall '-C 2y'
_cell_length_a 15.8904
_cell_length_b 4.0931
_cell_length_c 10.6029
_cell_angle_alpha 90.00
_cell_angle_beta 118.67
_cell_angle_gamma 90.00
loop_
_atom_site_label
_atom_site_fract_x
_atom_site_fract_y
_atom_site_fract_z
_atom_site_occupancy
Nd1 0.0874 0.0000 0.4503 1
Nd2 0.1351 0.5000 0.7886 1
Cl1 0.0488 0.5000 0.2354 1
Cl2 0.1630 0.0000 0.0105 1
Cl3 0.2306 0.5000 0.6156 1
O1 0.0831 0.0000 0.6702 1
```